First-principles (PBE) data for a geometry-optimized UHg3 structure, as listed in the Alexandria database.

Cell lengths 3.0088, 5.8987, 6.4850 Å; angles 117.05, 103.41, 90.00 degrees
Closest atoms and distances in Å follow each position.
Positions (direct):
Hg (0.5000, 0.5014, 0.0000)  8 Hg 3.01-3.36, 4 U 3.30-3.32
Hg (0.2537, 0.5844, 0.5074)  9 Hg 3.01-3.36, 2 U 3.29
Hg (0.7463, 0.0770, 0.4926)  9 Hg 3.01-3.36, 2 U 3.29
U (0.0000, 0.0038, 0.0000)  2 U 3.01, 8 Hg 3.29-3.32

Summary:
formation energy: 213 meV per atom
DFT total energy: -11.34 eV for the cell shown
symmetry: Imm2 (44)
volume: 24.7 A^3/atom
DOS at the Fermi energy: 6.81 states/eV per cell
M_tot: 3.68 μB/f.u.



First-principles (PBE) data for a geometry-optimized Al2CuPt4 structure, as listed in the Alexandria database.

Cell lengths 5.2565, 5.2565, 5.2565 Å; angles 98.19, 115.39, 115.39 degrees
Closest atoms and distances in Å follow each position.
Positions (direct):
Pt (0.5000, 0.5000, 0.5000)  4 Al 2.63, 2 Cu 2.63, 4 Pt 2.81
Pt (0.0000, 0.0000, 0.5000)  2 Cu 2.63, 4 Al 2.63, 4 Pt 2.81
Pt (0.5000, 0.0000, 0.0000)  4 Al 2.63, 2 Cu 2.63, 4 Pt 2.81
Pt (0.0000, 0.5000, 0.0000)  4 Al 2.63, 2 Cu 2.63, 4 Pt 2.81
Al (0.5000, 0.0000, 0.5000)  8 Pt 2.63, 2 Cu 2.81
Al (0.5000, 0.5000, 0.0000)  8 Pt 2.63, 2 Cu 2.81
Cu (0.0000, 0.0000, 0.0000)  8 Pt 2.63, 4 Al 2.81

Summary:
formation energy: -664 meV per atom
DFT total energy: -40.40 eV for the cell shown
symmetry: I4/mmm (139)
volume: 15.5 A^3/atom
DOS at the Fermi energy: 1.95 states/eV per cell
M_tot: 0.00 μB/f.u.



First-principles (PBE) data for a geometry-optimized RbTc2W structure, as listed in the Alexandria database.

Cell lengths 4.6450, 4.6450, 4.6450 Å; angles 60.00, 60.00, 60.00 degrees
Closest atoms and distances in Å follow each position.
Positions (direct):
W (0.5000, 0.5000, 0.5000)  8 Tc 2.84
Tc (0.7500, 0.7500, 0.7500)  4 W 2.84, 4 Rb 2.84
Tc (0.2500, 0.2500, 0.2500)  4 W 2.84, 4 Rb 2.84
Rb (0.0000, 0.0000, 0.0000)  8 Tc 2.84

Summary:
formation energy: 1686 meV per atom
DFT total energy: -27.91 eV for the cell shown
symmetry: Fm-3m (225)
volume: 17.7 A^3/atom
DOS at the Fermi energy: 4.31 states/eV per cell
M_tot: 0.00 μB/f.u.



First-principles (PBE) data for a geometry-optimized Nb2CrAu structure, as listed in the Alexandria database.

Cell lengths 4.5596, 4.5596, 4.5596 Å; angles 60.00, 60.00, 60.00 degrees
Closest atoms and distances in Å follow each position.
Positions (direct):
Au (0.5000, 0.5000, 0.5000)  8 Nb 2.79
Nb (0.2500, 0.2500, 0.2500)  4 Au 2.79, 4 Cr 2.79
Nb (0.7500, 0.7500, 0.7500)  4 Au 2.79, 4 Cr 2.79
Cr (0.0000, 0.0000, 0.0000)  8 Nb 2.79

Summary:
formation energy: 200 meV per atom
DFT total energy: -32.24 eV for the cell shown
symmetry: Fm-3m (225)
volume: 16.8 A^3/atom
DOS at the Fermi energy: 5.54 states/eV per cell
M_tot: 0.00 μB/f.u.



Which value of formation energy does entry 3 give?
1686 meV per atom